[1]
{"formula": "La2CuIrPd", "functional": "SCAN", "state": "single point on PBEsol structure", "formation_energy_ev_per_fu": 0.49, "final_energy_ev_per_fu": -204.79, "lattice_angstrom": [[4.473, 0.000, 0.000], [0.000, 5.341, 0.000], [0.000, 0.000, 5.341]], "species": ["Ir", "Cu", "Pd", "La", "La"], "frac_coords": [[0.500, 0.500, 0.500], [0.500, 0.000, 0.000], [0.000, 0.000, 0.000], [0.000, 0.000, 0.500], [0.000, 0.500, 0.000]]}

---

[2]
{"formula": "LiCuIr2", "functional": "SCAN", "state": "single point on PBEsol structure", "formation_energy_ev_per_fu": 0.05, "final_energy_ev_per_fu": -159.74, "lattice_angstrom": [[-0.277, -3.065, -2.822], [1.075, -3.899, 1.039], [-2.938, -2.941, 0.394]], "species": ["Cu", "Ir", "Ir", "Li"], "frac_coords": [[0.500, 0.500, 0.500], [0.000, 0.000, 0.000], [0.750, 0.750, 0.750], [0.250, 0.250, 0.250]]}

---

[3]
{"formula": "Li2CuIr", "functional": "SCAN", "state": "single point on PBEsol structure", "formation_energy_ev_per_fu": -0.51, "final_energy_ev_per_fu": -91.59, "polymorph_energy_kj_per_mol_atoms": 3.9, "lattice_angstrom": [[2.470, 0.000, 0.032], [0.000, 4.266, 0.000], [-0.790, 0.000, 4.850]], "species": ["Ir", "Cu", "Li", "Li"], "frac_coords": [[0.229, 0.500, 0.728], [0.623, 0.000, 0.528], [0.947, 0.000, 0.005], [0.701, 0.500, 0.238]]}

---

[4]
{"formula": "Li2CuIr", "functional": "SCAN", "state": "single point on PBEsol structure", "formation_energy_ev_per_fu": -0.59, "final_energy_ev_per_fu": -91.67, "polymorph_energy_kj_per_mol_atoms": 1.9, "lattice_angstrom": [[-1.605, 1.900, -0.698], [-1.090, -2.263, 0.605], [-0.621, 2.506, 8.252]], "species": ["Ir", "Cu", "Li", "Li"], "frac_coords": [[0.500, 0.500, 0.000], [0.500, 0.500, 0.500], [0.000, 0.000, 0.247], [0.000, 0.000, 0.753]]}

---

[5]
{"formula": "Li2CuIr", "functional": "SCAN", "state": "single point on PBEsol structure", "formation_energy_ev_per_fu": -0.46, "final_energy_ev_per_fu": -91.54, "polymorph_energy_kj_per_mol_atoms": 5.0, "lattice_angstrom": [[-0.973, -0.062, 2.288], [2.004, -4.118, -0.610], [3.790, 2.252, 1.672]], "species": ["Ir", "Cu", "Li", "Li"], "frac_coords": [[0.756, 0.512, 0.269], [0.497, 0.994, 0.473], [0.005, 0.010, 0.999], [0.242, 0.484, 0.758]]}

---

[6]
{"formula": "Li2CuIr", "functional": "SCAN", "state": "single point on PBEsol structure", "formation_energy_ev_per_fu": -0.67, "final_energy_ev_per_fu": -91.75, "polymorph_energy_kj_per_mol_atoms": 0.0, "lattice_angstrom": [[-0.109, 2.521, -0.121], [-4.434, -0.522, -1.190], [1.138, -0.849, 4.815]], "species": ["Ir", "Cu", "Li", "Li"], "frac_coords": [[0.000, 0.500, 0.000], [0.500, 0.000, 0.000], [0.000, 0.000, 0.500], [0.500, 0.500, 0.500]]}

---

[7]
{"formula": "Li2CuIr", "functional": "SCAN", "state": "single point on PBEsol structure", "formation_energy_ev_per_fu": 1.36, "final_energy_ev_per_fu": -89.71, "polymorph_energy_kj_per_mol_atoms": 49.0, "lattice_angstrom": [[4.898, 0.000, 0.000], [2.449, 4.560, 0.000], [2.449, 0.000, 4.560]], "species": ["Ir", "Ir", "Cu", "Cu", "Li", "Li", "Li", "Li"], "frac_coords": [[0.750, 0.500, 0.500], [0.000, 0.000, 0.000], [0.250, 0.500, 0.500], [0.500, 0.000, 0.000], [0.140, 0.985, 0.485], [0.610, 0.015, 0.515], [0.375, 0.485, 0.015], [0.875, 0.515, 0.985]]}

---

[8]
{"formula": "Li2CuIr", "functional": "SCAN", "state": "single point on PBEsol structure", "formation_energy_ev_per_fu": -0.58, "final_energy_ev_per_fu": -91.66, "polymorph_energy_kj_per_mol_atoms": 2.1, "lattice_angstrom": [[-2.667, 0.332, 0.355], [0.059, -2.891, 3.145], [0.767, 3.119, 2.853]], "species": ["Ir", "Cu", "Li", "Li"], "frac_coords": [[0.000, 0.500, 0.500], [0.500, 0.500, 0.000], [0.000, 0.000, 0.000], [0.500, 0.000, 0.500]]}

---

[9]
{"formula": "LiCuIr2", "functional": "SCAN", "state": "single point on PBEsol structure", "formation_energy_ev_per_fu": -0.45, "final_energy_ev_per_fu": -160.24, "lattice_angstrom": [[2.641, 0.000, 0.000], [0.000, 4.565, -0.006], [-1.321, -0.742, 4.309]], "species": ["Ir", "Ir", "Cu", "Li"], "frac_coords": [[0.257, 0.248, 0.513], [0.743, 0.752, 0.487], [0.000, 0.500, 0.000], [0.500, 0.000, 0.000]]}

---

[10]
{"formula": "Li2CuIr", "functional": "SCAN", "state": "single point on PBEsol structure", "formation_energy_ev_per_fu": -0.64, "final_energy_ev_per_fu": -91.72, "polymorph_energy_kj_per_mol_atoms": 0.6, "lattice_angstrom": [[2.515, 0.000, 0.001], [0.000, 4.332, 0.000], [-0.264, 0.000, 4.622]], "species": ["Ir", "Cu", "Li", "Li"], "frac_coords": [[0.000, 0.500, 0.500], [0.500, 0.500, 0.000], [0.704, 0.000, 0.739], [0.296, 0.000, 0.261]]}

---

[11]
{"formula": "Li2CuIr", "functional": "SCAN", "state": "single point on PBEsol structure", "formation_energy_ev_per_fu": -0.22, "final_energy_ev_per_fu": -91.29, "polymorph_energy_kj_per_mol_atoms": 10.9, "lattice_angstrom": [[-1.523, -1.805, 0.933], [1.255, 0.081, 2.206], [-5.013, 5.595, 2.644]], "species": ["Cu", "Ir", "Li", "Li"], "frac_coords": [[0.500, 0.500, 0.000], [0.500, 0.500, 0.500], [0.000, 0.000, 0.750], [0.000, 0.000, 0.250]]}

---

[12]
{"formula": "Li2CuIr", "functional": "SCAN", "state": "single point on PBEsol structure", "formation_energy_ev_per_fu": -0.63, "final_energy_ev_per_fu": -91.70, "polymorph_energy_kj_per_mol_atoms": 1.0, "lattice_angstrom": [[2.712, 0.000, 0.000], [0.000, 4.294, 0.000], [-1.356, -2.147, 4.247]], "species": ["Ir", "Cu", "Li", "Li"], "frac_coords": [[0.500, 0.000, 0.000], [0.000, 0.500, 0.000], [0.740, 0.740, 0.479], [0.260, 0.260, 0.521]]}

---

[13]
{"formula": "LiCuIr2", "functional": "SCAN", "state": "single point on PBEsol structure", "formation_energy_ev_per_fu": -0.54, "final_energy_ev_per_fu": -160.33, "lattice_angstrom": [[2.657, 0.000, 0.000], [0.000, 4.349, 0.000], [0.000, 0.000, 4.486]], "species": ["Ir", "Ir", "Cu", "Li"], "frac_coords": [[0.500, 0.000, 0.943], [0.000, 0.500, 0.808], [0.500, 0.500, 0.309], [0.000, 0.000, 0.440]]}

---

[14]
{"formula": "LiCuIr", "functional": "SCAN", "state": "single point on PBEsol structure", "formation_energy_ev_per_fu": 2.13, "final_energy_ev_per_fu": -86.56, "polymorph_energy_kj_per_mol_atoms": 63.8, "lattice_angstrom": [[-0.269, -3.829, 1.167], [2.674, -2.689, -1.310], [2.718, -1.522, 2.528]], "species": ["Cu", "Ir", "Li"], "frac_coords": [[0.500, 0.500, 0.500], [0.750, 0.750, 0.750], [0.000, 0.000, 0.000]]}

---

[15]
{"formula": "LiCuIr2", "functional": "SCAN", "state": "single point on PBEsol structure", "formation_energy_ev_per_fu": 0.52, "final_energy_ev_per_fu": -159.27, "lattice_angstrom": [[-0.137, 2.561, -0.026], [-3.256, -0.195, -2.163], [-2.856, -0.109, 4.308]], "species": ["Cu", "Ir", "Ir", "Li"], "frac_coords": [[0.500, 0.500, 0.500], [0.000, 0.000, 0.755], [0.000, 0.000, 0.245], [0.500, 0.500, 0.000]]}

---

[16]
{"formula": "LiCuIr", "functional": "SCAN", "state": "single point on PBEsol structure", "formation_energy_ev_per_fu": 0.14, "final_energy_ev_per_fu": -88.55, "polymorph_energy_kj_per_mol_atoms": 0.0, "lattice_angstrom": [[-1.940, -1.694, -0.173], [1.525, -1.845, 0.964], [-1.506, 3.180, 5.016]], "species": ["Cu", "Ir", "Li"], "frac_coords": [[0.004, 0.004, 0.007], [0.664, 0.664, 0.329], [0.332, 0.332, 0.664]]}

---

[17]
{"formula": "LiCu2Ir2", "functional": "SCAN", "state": "single point on PBEsol structure", "formation_energy_ev_per_fu": 2.45, "final_energy_ev_per_fu": -172.54, "lattice_angstrom": [[-4.090, -0.119, -1.355], [-1.091, -2.277, 3.493], [1.763, 4.924, 1.101]], "species": ["Ir", "Ir", "Cu", "Cu", "Li"], "frac_coords": [[0.369, 0.369, 0.737], [0.631, 0.631, 0.263], [0.250, 0.750, 0.500], [0.750, 0.250, 0.500], [0.000, 0.000, 0.000]]}

---

[18]
{"formula": "Li2CuIr", "functional": "SCAN", "state": "single point on PBEsol structure", "formation_energy_ev_per_fu": -0.64, "final_energy_ev_per_fu": -91.72, "polymorph_energy_kj_per_mol_atoms": 0.7, "lattice_angstrom": [[2.625, 0.000, 0.000], [1.312, 2.273, 0.000], [1.312, 0.758, 8.641]], "species": ["Ir", "Cu", "Li", "Li"], "frac_coords": [[0.000, 0.000, 0.000], [0.500, 0.500, 0.500], [0.251, 0.251, 0.247], [0.749, 0.749, 0.753]]}

---

[19]
{"formula": "LiCuSb2Ir", "functional": "SCAN", "state": "single point on PBEsol structure", "formation_energy_uncorrected_ev_per_atom": 0.67, "final_energy_ev_per_fu": -159.85, "lattice_angstrom": [[4.677, 0.000, 0.000], [0.000, 4.858, 0.000], [0.000, 0.000, 4.858]], "species": ["Sb", "Sb", "Ir", "Cu", "Li"], "frac_coords": [[0.000, 0.000, 0.500], [0.000, 0.500, 0.000], [0.500, 0.000, 0.000], [0.000, 0.000, 0.000], [0.500, 0.500, 0.500]]}

---

[20]
{"formula": "MgCuIr2", "functional": "SCAN", "state": "single point on PBEsol structure", "formation_energy_ev_per_fu": -0.69, "final_energy_ev_per_fu": -163.07, "lattice_angstrom": [[-1.346, -2.117, -1.086], [1.493, -1.312, 4.149], [-4.100, 2.011, 1.160]], "species": ["Cu", "Ir", "Ir", "Mg"], "frac_coords": [[0.500, 0.000, 0.000], [0.755, 0.510, 0.761], [0.245, 0.490, 0.239], [0.000, 0.000, 0.500]]}

---

[21]
{"formula": "MgCuIr2", "functional": "SCAN", "state": "single point on PBEsol structure", "formation_energy_ev_per_fu": -0.39, "final_energy_ev_per_fu": -162.76, "lattice_angstrom": [[-2.037, 1.151, 1.430], [-1.526, -2.249, -0.364], [2.805, -2.931, 6.353]], "species": ["Cu", "Ir", "Ir", "Mg"], "frac_coords": [[0.500, 0.500, 0.762], [0.000, 0.000, 0.999], [0.500, 0.500, 0.237], [0.000, 0.000, 0.502]]}

---

[22]
{"formula": "MgCuIr", "functional": "SCAN", "state": "single point on PBEsol structure", "formation_energy_ev_per_fu": -0.33, "final_energy_ev_per_fu": -91.60, "polymorph_energy_kj_per_mol_atoms": 0.0, "lattice_angstrom": [[2.734, 0.000, 0.000], [0.000, 3.818, 0.000], [-1.367, -1.909, 4.023]], "species": ["Cu", "Ir", "Mg"], "frac_coords": [[0.006, 0.006, 0.013], [0.662, 0.662, 0.324], [0.332, 0.332, 0.664]]}

---

[23]
{"formula": "MgCuIr2", "functional": "SCAN", "state": "single point on PBEsol structure", "formation_energy_ev_per_fu": -0.48, "final_energy_ev_per_fu": -162.85, "lattice_angstrom": [[-2.721, 0.366, -0.634], [-0.610, -4.311, 0.131], [-0.994, 0.275, 4.424]], "species": ["Cu", "Ir", "Ir", "Mg"], "frac_coords": [[0.000, 0.500, 0.500], [0.000, 0.000, 0.000], [0.500, 0.000, 0.500], [0.500, 0.500, 0.000]]}

---

[24]
{"formula": "MgCuIr", "functional": "SCAN", "state": "single point on PBEsol structure", "formation_energy_ev_per_fu": -0.09, "final_energy_ev_per_fu": -91.36, "polymorph_energy_kj_per_mol_atoms": 7.7, "lattice_angstrom": [[2.755, 0.000, 0.000], [-1.378, 2.386, 0.000], [0.000, 0.000, 6.438]], "species": ["Cu", "Ir", "Mg"], "frac_coords": [[0.000, 0.000, 0.997], [0.333, 0.667, 0.670], [0.667, 0.333, 0.333]]}

---

[25]
{"formula": "MgCuIr2N", "functional": "SCAN", "state": "single point on PBEsol structure", "formation_energy_uncorrected_ev_per_atom": 1.31, "final_energy_ev_per_fu": -165.13, "lattice_angstrom": [[-2.856, -1.727, 0.004], [1.065, -1.771, -4.225], [2.188, -3.614, 2.067]], "species": ["Mg", "Ir", "Ir", "Cu", "N"], "frac_coords": [[0.500, 0.500, 0.500], [0.000, 0.000, 0.500], [0.000, 0.500, 0.000], [0.000, 0.000, 0.000], [0.500, 0.000, 0.000]]}

---

[26]
{"formula": "Mg2CuNiIr", "functional": "SCAN", "state": "single point on PBEsol structure", "formation_energy_ev_per_fu": 3.49, "final_energy_ev_per_fu": -108.93, "lattice_angstrom": [[4.414, 0.000, 0.000], [0.000, 4.860, 0.000], [0.000, 0.000, 4.860]], "species": ["Ni", "Mg", "Mg", "Ir", "Cu"], "frac_coords": [[0.500, 0.000, 0.000], [0.000, 0.000, 0.500], [0.000, 0.500, 0.000], [0.000, 0.000, 0.000], [0.500, 0.500, 0.500]]}

---

[27]
{"formula": "Mg2CuIrO6", "functional": "SCAN", "state": "single point on PBEsol structure", "formation_energy_uncorrected_ev_per_atom": -1.63, "final_energy_ev_per_fu": -149.90, "lattice_angstrom": [[-0.977, 1.561, 4.482], [-2.822, -4.134, 0.825], [6.766, -4.084, 2.677]], "species": ["Mg", "Mg", "Mg", "Mg", "Cu", "Cu", "Ir", "Ir", "O", "O", "O", "O", "O", "O", "O", "O", "O", "O", "O", "O"], "frac_coords": [[0.039, 0.066, 0.243], [0.461, 0.566, 0.257], [0.539, 0.434, 0.743], [0.961, 0.934, 0.757], [0.000, 0.500, 0.000], [0.500, 0.000, 0.500], [0.000, 0.500, 0.500], [0.500, 0.000, 0.000], [0.164, 0.589, 0.704], [0.188, 0.796, 0.072], [0.203, 0.799, 0.402], [0.297, 0.299, 0.098], [0.312, 0.296, 0.428], [0.336, 0.089, 0.796], [0.664, 0.911, 0.204], [0.688, 0.704, 0.572], [0.703, 0.701, 0.902], [0.812, 0.204, 0.928], [0.797, 0.201, 0.598], [0.836, 0.411, 0.296]]}

---

[28]
{"formula": "MnCuIr2", "functional": "SCAN", "state": "single point on PBEsol structure", "formation_energy_ev_per_fu": -0.75, "final_energy_ev_per_fu": -176.41, "lattice_angstrom": [[3.800, 0.000, 0.000], [0.000, 3.800, 0.000], [-1.900, -1.900, 3.538]], "species": ["Cu", "Ir", "Ir", "Mn"], "frac_coords": [[0.000, 0.000, 0.000], [0.750, 0.250, 0.500], [0.250, 0.750, 0.500], [0.500, 0.500, 0.000]]}

---

[29]
{"formula": "Mn3CuIr", "functional": "SCAN", "state": "single point on PBEsol structure", "formation_energy_ev_per_fu": 3.63, "final_energy_ev_per_fu": -137.43, "lattice_angstrom": [[4.708, 0.000, 0.000], [0.000, 4.708, 0.000], [0.000, 0.000, 4.708]], "species": ["Mn", "Mn", "Mn", "Ir", "Cu"], "frac_coords": [[0.000, 0.500, 0.000], [0.000, 0.000, 0.500], [0.500, 0.000, 0.000], [0.000, 0.000, 0.000], [0.500, 0.500, 0.500]]}